Record 1
Material: BaAc2VO5
Method: DFT, GGA+U
State: relaxed

The space group is Immm (No. 71) and the conventional cell measures 4.093, 6.219 and 12.219 Å, with angles of 90.00, 90.00 and 90.00 degrees. The distinct sites, in fractional coordinates, are Ba at (0.000, 0.000, 0.000), Ac at (0.000, 0.500, 0.204), V at (0.000, 0.000, 0.500), O at (0.000, 0.238, 0.361) and O at (0.000, 0.500, 0.000).

The value obtained for the density of states at the Fermi level is 0.1148 states/eV per atom. The value obtained for the spin magnetization is 2.9 μB/f.u. The calculated total energy comes out at -134.13 eV per cell.


Record 2
Material: BaAc2VO6
Method: DFT, GGA+U
State: relaxed

The space group is P4mm (No. 99) and the conventional cell measures 5.724, 5.724 and 5.851 Å, with angles of 90.00, 90.00 and 90.00 degrees. The distinct sites, in fractional coordinates, are Ba at (0.000, 0.000, 0.000), Ac at (0.000, 0.500, 0.450), V at (0.500, 0.500, 0.087), O at (0.000, 0.000, 0.568), O at (0.277, 0.277, 0.217) and O at (0.500, 0.500, 0.785).

The value obtained for the density of states at the Fermi level is 0.0000 states/eV per atom. The value obtained for the spin magnetization is 1.0 μB/f.u. The calculated total energy comes out at -74.53 eV per cell.


Record 3
Material: BaAcV2O8
Method: DFT, GGA+U
State: relaxed

The space group is P-3m1 (No. 164) and the conventional cell measures 5.9038, 5.9038 and 8.0593 Å, with angles of 90.00, 90.00 and 120.00 degrees. The distinct sites, in fractional coordinates, are Ba at (0.0000, 0.0000, 0.0000), Ac at (0.0000, 0.0000, 0.5000), V at (0.3333, 0.6667, 0.7884), O at (0.1709, 0.3418, 0.7182) and O at (0.3333, 0.6667, 0.9990).

The value obtained for the density of states at the Fermi level is 0.9366 states/eV per atom. The value obtained for the spin magnetization is 1.1 μB/f.u. The calculated total energy comes out at -88.68 eV per cell.


> Which formula does entry 2 have?

BaAc2VO6


> Which of these has the highest spin magnetization?

BaAc2VO5


> Which of these has the highest calculated total energy?

BaAc2VO6


Repeat the third record exactly.
Material: BaAcV2O8
Method: DFT, GGA+U
State: relaxed

The space group is P-3m1 (No. 164) and the conventional cell measures 5.9038, 5.9038 and 8.0593 Å, with angles of 90.00, 90.00 and 120.00 degrees. The distinct sites, in fractional coordinates, are Ba at (0.0000, 0.0000, 0.0000), Ac at (0.0000, 0.0000, 0.5000), V at (0.3333, 0.6667, 0.7884), O at (0.1709, 0.3418, 0.7182) and O at (0.3333, 0.6667, 0.9990).

The value obtained for the density of states at the Fermi level is 0.9366 states/eV per atom. The value obtained for the spin magnetization is 1.1 μB/f.u. The calculated total energy comes out at -88.68 eV per cell.